1.
Entry from the Alexandria database: Zr2CdHg after structural relaxation (GGA-PBEsol).

Properties
- Formation energy: -0.73 eV/f.u.
- DOS at the Fermi energy: 1.0 states/eV/f.u.

abc: 6.926 6.926 6.926
angles: 90.00 90.00 90.00
Space group Fm-3m (No. 225)
Symmetry-distinct sites (fractional):
Zr 0.250 0.250 0.250 [8 per cell]
Cd 0.000 0.000 0.000 [4 per cell]
Hg 0.000 0.000 0.500 [4 per cell]



2.
Entry from the Alexandria database: Zr2Sb2F after structural relaxation (GGA-PBEsol).

Properties
- DOS at the Fermi energy: 3.7 states/eV/f.u.
- Formation energy (no corrections): -0.18 eV per atom

abc: 4.250 4.250 13.236
angles: 90.00 90.00 90.00
Space group I4/mmm (No. 139)
Symmetry-distinct sites (fractional):
Zr 0.000 0.000 0.100 [4 per cell]
Sb 0.000 0.500 0.250 [4 per cell]
F 0.000 0.000 0.500 [2 per cell]



3.
Entry from the Alexandria database: MnFeIr2 after structural relaxation (GGA-PBEsol).

Properties
- Formation energy: 0.36 eV/f.u.
- DOS at the Fermi energy: 5.7 states/eV/f.u.

abc: 5.957 5.957 5.957
angles: 90.00 90.00 90.00
Space group Fm-3m (No. 225)
Symmetry-distinct sites (fractional):
Mn 0.000 0.000 0.000 [4 per cell]
Fe 0.000 0.000 0.500 [4 per cell]
Ir 0.250 0.250 0.250 [8 per cell]